A geometry-optimized Sr4Sn2O structure. Source: Alexandria, functional PBE.

Values from the calculation:
**Spin magnetization**: 0.00 μB/cell
**V**: 29.62 Å³/atom
**Electronic total energy**: -27.761 eV/cell

Lattice parameters (Å, degrees): 5.0278 5.3039 8.2162 108.83 90.00 90.00
Last column: nearest neighbours and their distance in Å.
Atoms (fractional coordinates):
Sr1 0.5000 0.0000 0.0000  2 O 2.51
Sr2 0.0000 0.1693 0.3385  1 O 2.63
Sr3 0.0000 0.8307 0.6615  1 O 2.63
Sr4 0.0000 0.5000 0.0000  2 O 2.65
Sn1 0.5000 0.3439 0.6879  10 Sr 3.49-3.70
Sn2 0.5000 0.6561 0.3121  10 Sr 3.49-3.70
O1 0.0000 0.0000 0.0000  6 Sr 2.51-2.65


A geometry-optimized Ac2La3CeN6 structure. Source: Alexandria, functional PBE.

Values from the calculation:
**Spin magnetization**: 0.00 μB/cell
**V**: 18.96 Å³/atom
**Electronic total energy**: -94.048 eV/cell

Lattice parameters (Å, degrees): 6.5530 6.5530 6.5022 99.59 99.59 120.18
Last column: nearest neighbours and their distance in Å.
Atoms (fractional coordinates):
La1 0.1602 0.8398 0.5000  4 N 2.55-2.61
La2 0.5000 0.5000 0.5000  6 N 2.62-2.77
La3 0.8398 0.1602 0.5000  4 N 2.55-2.61
Ac1 0.6677 0.3323 0.0000  6 N 2.72-2.75
Ac2 0.3323 0.6677 0.0000  6 N 2.72-2.75
N1 0.3829 0.0807 0.2420  1 Ce 2.47, 2 La 2.61-2.62, 2 Ac 2.72
N2 0.9193 0.6171 0.7580  1 Ce 2.47, 2 La 2.61-2.62, 2 Ac 2.72
N3 0.2263 0.2263 0.7463  3 La 2.55-2.77, 1 Ce 2.56, 2 Ac 2.75
N4 0.6171 0.9193 0.7580  1 Ce 2.47, 2 La 2.61-2.62, 2 Ac 2.72
N5 0.0807 0.3829 0.2420  1 Ce 2.47, 2 La 2.61-2.62, 2 Ac 2.72
N6 0.7737 0.7737 0.2537  3 La 2.55-2.77, 1 Ce 2.56, 2 Ac 2.75
Ce1 0.0000 0.0000 0.0000  6 N 2.47-2.56


A geometry-optimized Rb5F structure. Source: Alexandria, functional PBE.

Values from the calculation:
**Spin magnetization**: 0.00 μB/cell
**V**: 81.43 Å³/atom
**Electronic total energy**: -11.083 eV/cell

Lattice parameters (Å, degrees): 8.5074 4.3091 13.5003 99.18 90.00 90.00
Last column: nearest neighbours and their distance in Å.
Atoms (fractional coordinates):
Rb1 0.5000 0.5000 0.0000  6 Rb 4.31-4.63, 4 F 4.77
Rb2 0.5000 0.1672 0.3344  2 Rb 4.31
Rb3 0.0000 0.4315 0.8629  2 F 2.82
Rb4 0.0000 0.5685 0.1371  2 F 2.82
Rb5 0.5000 0.8328 0.6656  2 Rb 4.31
F1 0.0000 0.0000 0.0000  4 Rb 2.82


A geometry-optimized Tb2Pr3Sm3 structure. Source: Alexandria, functional PBE.

Values from the calculation:
**ΔE_f**: 2.9 kJ per mole of atoms
**Spin magnetization**: 0.00 μB/cell
**V**: 34.55 Å³/atom

Lattice parameters (Å, degrees): 6.3742 8.6777 14.7422 90.00 90.00 137.33
Last column: nearest neighbours and their distance in Å.
Atoms (fractional coordinates):
Tb1 0.9132 0.7501 0.6258  5 Sm 3.62-3.71, 6 Pr 3.62-3.71, 1 Tb 3.66
Tb2 0.9132 0.7501 0.8742  5 Sm 3.62-3.71, 6 Pr 3.62-3.71, 1 Tb 3.66
Tb3 0.0868 0.2499 0.1258  5 Sm 3.62-3.71, 6 Pr 3.62-3.71, 1 Tb 3.66
Tb4 0.0868 0.2499 0.3742  5 Sm 3.62-3.71, 6 Pr 3.62-3.71, 1 Tb 3.66
Sm1 0.0826 0.2502 0.6255  3 Tb 3.62-3.71, 6 Pr 3.63-3.69, 3 Sm 3.63-3.67
Sm2 0.9174 0.7498 0.3745  3 Tb 3.62-3.71, 6 Pr 3.63-3.69, 3 Sm 3.63-3.67
Sm3 0.4133 0.7502 0.7500  4 Pr 3.63-3.68, 4 Sm 3.63, 4 Tb 3.67-3.68
Sm4 0.0826 0.2502 0.8745  3 Tb 3.62-3.71, 6 Pr 3.63-3.69, 3 Sm 3.63-3.67
Sm5 0.9174 0.7498 0.1255  3 Tb 3.62-3.71, 6 Pr 3.63-3.69, 3 Sm 3.63-3.67
Sm6 0.5867 0.2498 0.2500  4 Pr 3.63-3.68, 4 Sm 3.63, 4 Tb 3.67-3.68
Pr1 0.4178 0.7498 0.9999  5 Sm 3.63-3.69, 3 Pr 3.63-3.69, 4 Tb 3.64-3.71
Pr2 0.4178 0.7498 0.5001  5 Sm 3.63-3.69, 3 Pr 3.63-3.69, 4 Tb 3.64-3.71
Pr3 0.4198 0.7500 0.2500  4 Tb 3.62-3.63, 6 Sm 3.63-3.69, 2 Pr 3.69
Pr4 0.5822 0.2502 0.0001  5 Sm 3.63-3.69, 3 Pr 3.63-3.69, 4 Tb 3.64-3.71
Pr5 0.5822 0.2502 0.4999  5 Sm 3.63-3.69, 3 Pr 3.63-3.69, 4 Tb 3.64-3.71
Pr6 0.5802 0.2500 0.7500  4 Tb 3.62-3.63, 6 Sm 3.63-3.69, 2 Pr 3.69


Among the records above, which one has the lowest V?
Ac2La3CeN6


V of number 4 (Tb2Pr3Sm3)?
34.55 Å³/atom